PdWCl3 | PBE | relaxed

Calculated values
The formation energy from raw total energies is 0.37 eV/atom. The value obtained for the total magnetization is 0.28 μB per atom.

a = 4.782 Å, b = 4.782 Å, c = 4.782 Å
α = 90.00°, β = 90.00°, γ = 90.00°
Each line ends with the local moment (μB).
Positions (direct):
Pd 0.500 0.500 0.500  0.02
W 0.000 0.000 0.000  1.00
Cl 0.000 0.500 0.000  0.03
Cl 0.000 0.000 0.500  0.00
Cl 0.500 0.000 0.000  0.09



PdW2Cl | PBE | relaxed

Calculated values
The formation energy from raw total energies is 1.04 eV/atom. The value obtained for the total magnetization is 0.00 μB per atom.

a = 3.740 Å, b = 3.740 Å, c = 10.272 Å
α = 79.51°, β = 79.51°, γ = 90.00°
Positions (direct):
Pd 0.000 0.000 0.000
Pd 0.750 0.250 0.500
W 0.638 0.125 0.250
W 0.112 0.625 0.250
W 0.375 0.362 0.750
W 0.875 0.888 0.750
Cl 0.500 0.500 0.000
Cl 0.250 0.750 0.500



Pd2WCl | PBE | relaxed

Calculated values
The formation energy from raw total energies is 0.81 eV/atom. The value obtained for the total magnetization is 0.00 μB per atom.

a = 6.500 Å, b = 6.500 Å, c = 6.058 Å
α = 57.55°, β = 57.55°, γ = 90.00°
Positions (direct):
Pd 0.635 0.125 0.250
Pd 0.115 0.625 0.250
Pd 0.375 0.365 0.750
Pd 0.875 0.885 0.750
W 0.000 0.000 0.000
W 0.750 0.250 0.500
Cl 0.500 0.500 0.000
Cl 0.250 0.750 0.500



Pd2WCl | PBE | relaxed

Calculated values
The formation energy from raw total energies is 0.85 eV/atom. The value obtained for the total magnetization is 0.00 μB per atom.

a = 4.538 Å, b = 4.538 Å, c = 4.538 Å
α = 60.00°, β = 60.00°, γ = 60.00°
Positions (direct):
Pd 0.250 0.250 0.250
Pd 0.750 0.750 0.750
W 0.500 0.500 0.500
Cl 0.000 0.000 0.000



PdW2Cl | PBE | relaxed

Calculated values
The formation energy from raw total energies is 0.88 eV/atom. The value obtained for the total magnetization is 0.00 μB per atom.

a = 4.434 Å, b = 4.434 Å, c = 4.434 Å
α = 60.00°, β = 60.00°, γ = 60.00°
Positions (direct):
Pd 0.500 0.500 0.500
W 0.250 0.250 0.250
W 0.750 0.750 0.750
Cl 0.000 0.000 0.000



ZnPdW2Cl | PBE | relaxed

Calculated values
The formation energy from raw total energies is 1.80 eV/atom. The value obtained for the total magnetization is 1.10 μB per atom.

a = 4.944 Å, b = 4.944 Å, c = 4.855 Å
α = 90.00°, β = 90.00°, γ = 90.00°
Each line ends with the local moment (μB).
Positions (direct):
Zn 0.000 0.000 0.500  -0.03
Pd 0.000 0.000 0.000  0.03
W 0.000 0.500 0.000  2.04
W 0.500 0.000 0.000  2.04
Cl 0.500 0.500 0.500  0.16



YPd3Cl | PBE | relaxed

Calculated values
The formation energy from raw total energies is 0.54 eV/atom. The value obtained for the total magnetization is 0.00 μB per atom.

a = 5.139 Å, b = 5.139 Å, c = 5.139 Å
α = 90.00°, β = 90.00°, γ = 90.00°
Positions (direct):
Y 0.000 0.000 0.000
Pd 0.000 0.500 0.000
Pd 0.000 0.000 0.500
Pd 0.500 0.000 0.000
Cl 0.500 0.500 0.500



Y2PdCl | PBE | relaxed

Calculated values
The formation energy from raw total energies is -0.77 eV/atom. The value obtained for the total magnetization is 0.32 μB per atom.

a = 5.053 Å, b = 5.053 Å, c = 5.053 Å
α = 60.00°, β = 60.00°, γ = 60.00°
Each line ends with the local moment (μB).
Positions (direct):
Y 0.250 0.250 0.250  0.31
Y 0.750 0.750 0.750  0.31
Pd 0.500 0.500 0.500  0.05
Cl 0.000 0.000 0.000  0.02



Q: What is the formation energy from raw total energies in the eighth record?
A: -0.77 eV/atom